Run 1
Sb2PSe, optimized geometry, DFT GGA-PBE; space-group type = P4mm (99)
1.0
3.531 0.000 0.000
0.000 3.531 0.000
0.000 0.000 8.520
Sb P Se
2 1 1
direct
0.000 0.000 0.000 Sb
0.500 0.500 0.353 Sb
0.500 0.500 0.866 P
0.000 0.000 0.509 Se

---

Run 2
Sb2PSe, optimized geometry, DFT GGA-PBE; space-group type = Cmmm (65)
1.0
2.995 -4.155 0.000
2.995 4.155 0.000
0.000 0.000 3.990
Sb P Se
2 1 1
direct
0.232 0.768 0.000 Sb
0.768 0.232 0.000 Sb
0.000 0.000 0.500 P
0.500 0.500 0.500 Se

---

Each structure's energy above the most stable one, in eV/atom: run 1 0.117; run 2 0.000.

---

Run 1
Sb2PSe, optimized geometry, DFT GGA-PBE; space-group type = I-42d (122)
1.0
-3.727 3.727 3.735
3.727 -3.727 3.735
3.727 3.727 -3.735
Sb P Se
4 2 2
direct
0.102 0.625 0.977 Sb
0.375 0.352 0.477 Sb
0.648 0.125 0.023 Sb
0.875 0.898 0.523 Sb
0.000 0.000 0.000 P
0.750 0.250 0.500 P
0.250 0.750 0.500 Se
0.500 0.500 0.000 Se

---

Run 2
Sb2PSe, optimized geometry, DFT GGA-PBE; space-group type = R3m (160)
1.0
1.926 1.112 8.000
-1.926 1.112 8.000
0.000 -2.224 8.000
Sb P Se
2 1 1
direct
0.000 0.000 0.000 Sb
0.218 0.218 0.218 Sb
0.491 0.491 0.491 P
0.739 0.739 0.739 Se

---

Run 3
Sb2PSe, optimized geometry, DFT GGA-PBE; space-group type = Pm (6)
1.0
4.532 0.000 0.000
0.000 3.840 0.000
-1.390 0.000 5.946
Sb P Se
2 1 1
direct
0.000 0.000 0.000 Sb
0.472 0.500 0.505 Sb
0.596 0.500 0.942 P
0.976 0.000 0.515 Se

---

Each structure's energy above the most stable one, in eV/atom: run 1 0.168; run 2 0.094; run 3 0.000.

---

Run 1
Sb2PSe, optimized geometry, DFT GGA-PBE; space-group type = Imm2 (44)
1.0
-1.851 1.871 7.337
1.851 -1.871 7.337
1.851 1.871 -7.337
Sb P Se
2 1 1
direct
0.000 0.000 0.000 Sb
0.715 0.215 0.500 Sb
0.151 0.651 0.500 P
0.413 0.413 0.000 Se

---

Run 2
Sb2PSe, optimized geometry, DFT GGA-PBE; space-group type = P2_1 (4)
1.0
8.892 0.000 0.000
0.000 3.902 0.000
-2.647 0.000 12.791
Sb P Se
8 4 4
direct
0.041 0.000 0.158 Sb
0.191 0.525 0.626 Sb
0.263 0.019 0.366 Sb
0.435 0.845 0.120 Sb
0.565 0.345 0.880 Sb
0.737 0.519 0.634 Sb
0.809 0.025 0.374 Sb
0.959 0.500 0.842 Sb
0.101 0.520 0.421 P
0.163 0.503 0.071 P
0.837 0.003 0.929 P
0.899 0.020 0.579 P
0.343 0.922 0.912 Se
0.403 0.027 0.635 Se
0.597 0.527 0.365 Se
0.657 0.422 0.088 Se

---

Run 3
Sb2PSe, optimized geometry, DFT GGA-PBE; space-group type = Cm (8)
1.0
5.933 -1.879 0.000
5.933 1.879 0.000
-0.264 0.000 4.711
Sb P Se
2 1 1
direct
0.000 0.000 0.000 Sb
0.740 0.740 0.617 Sb
0.522 0.522 0.626 P
0.230 0.230 0.139 Se

---

Each structure's energy above the most stable one, in eV/atom: run 1 0.111; run 2 0.000; run 3 0.013.

---

Run 1
SbP2Se, optimized geometry, DFT GGA-PBE; space-group type = I4/mmm (139)
1.0
-1.878 1.878 6.560
1.878 -1.878 6.560
1.878 1.878 -6.560
Sb P Se
1 2 1
direct
0.000 0.000 0.000 Sb
0.250 0.750 0.500 P
0.750 0.250 0.500 P
0.500 0.500 0.000 Se

---

Run 2
SbP2Se, optimized geometry, DFT GGA-PBE; space-group type = Pm (6)
1.0
4.428 0.000 0.000
0.000 4.053 0.000
-2.166 0.000 5.041
Sb P Se
1 2 1
direct
0.000 0.000 0.000 Sb
0.574 0.000 0.393 P
0.787 0.500 0.327 P
0.233 0.500 0.762 Se

---

Each structure's energy above the most stable one, in eV/atom: run 1 0.502; run 2 0.000.

---

Run 1
SbP2Se, optimized geometry, DFT GGA-PBE; space-group type = C2/m (12)
1.0
2.850 -3.852 0.000
2.850 3.852 0.000
-2.838 0.000 3.857
Sb P Se
1 2 1
direct
0.000 0.000 0.000 Sb
0.000 0.500 0.500 P
0.500 0.000 0.500 P
0.500 0.500 0.000 Se

---

Run 2
SbP2Se, optimized geometry, DFT GGA-PBE; space-group type = I-42d (122)
1.0
-3.402 3.402 4.204
3.402 -3.402 4.204
3.402 3.402 -4.204
Sb P Se
2 4 2
direct
0.000 0.000 0.000 Sb
0.750 0.250 0.500 Sb
0.134 0.125 0.509 P
0.375 0.866 0.991 P
0.616 0.625 0.491 P
0.875 0.384 0.009 P
0.250 0.750 0.500 Se
0.500 0.500 0.000 Se

---

Each structure's energy above the most stable one, in eV/atom: run 1 0.000; run 2 0.149.

---

Run 1
SbP2Se, optimized geometry, DFT GGA-PBE; space-group type = R3m (160)
1.0
1.811 1.045 7.293
-1.811 1.045 7.293
0.000 -2.091 7.293
Sb P Se
1 2 1
direct
0.000 0.000 0.000 Sb
0.253 0.253 0.253 P
0.524 0.524 0.524 P
0.788 0.788 0.788 Se

---

Run 2
SbP2Se, optimized geometry, DFT GGA-PBE; space-group type = Immm (71)
1.0
-1.837 2.559 4.203
1.837 -2.559 4.203
1.837 2.559 -4.203
Sb P Se
1 2 1
direct
0.000 0.000 0.000 Sb
0.279 0.779 0.500 P
0.721 0.221 0.500 P
0.500 0.500 0.000 Se

---

Each structure's energy above the most stable one, in eV/atom: run 1 0.000; run 2 0.420.

---

Run 1
SbP2Se, optimized geometry, DFT GGA-PBE; space-group type = P2/m (10)
1.0
4.646 0.000 0.000
0.000 3.937 0.000
-1.580 0.000 4.853
Sb P Se
1 2 1
direct
0.000 0.000 0.000 Sb
0.306 0.500 0.809 P
0.694 0.500 0.191 P
0.500 0.000 0.500 Se

---

Run 2
SbP2Se, optimized geometry, DFT GGA-PBE; space-group type = Cm (8)
1.0
6.865 -1.721 0.000
6.865 1.721 0.000
-1.098 0.000 4.183
Sb P Se
1 2 1
direct
0.000 0.000 0.000 Sb
0.170 0.170 0.471 P
0.560 0.560 0.637 P
0.776 0.776 0.361 Se

---

Each structure's energy above the most stable one, in eV/atom: run 1 0.000; run 2 0.054.

---

Run 1
SbP2Se, optimized geometry, DFT GGA-PBE; space-group type = Imm2 (44)
1.0
-1.608 1.942 8.671
1.608 -1.942 8.671
1.608 1.942 -8.671
Sb P Se
1 2 1
direct
0.000 0.000 0.000 Sb
0.633 0.633 0.000 P
0.713 0.213 0.500 P
0.395 0.895 0.500 Se

---

Run 2
SbP2Se, optimized geometry, DFT GGA-PBE; space-group type = I-4m2 (119)
1.0
-1.832 1.832 7.102
1.832 -1.832 7.102
1.832 1.832 -7.102
Sb P Se
1 2 1
direct
0.000 0.000 0.000 Sb
0.500 0.500 0.000 P
0.750 0.250 0.500 P
0.250 0.750 0.500 Se

---

Each structure's energy above the most stable one, in eV/atom: run 1 0.000; run 2 0.417.

---

Run 1
SbP2Se, optimized geometry, DFT GGA-PBE; space-group type = P4/mmm (123)
1.0
4.775 0.000 0.000
0.000 4.775 0.000
0.000 0.000 3.370
Sb P Se
1 2 1
direct
0.000 0.000 0.000 Sb
0.000 0.500 0.500 P
0.500 0.000 0.500 P
0.500 0.500 0.000 Se

---

Run 2
SbP2Se, optimized geometry, DFT GGA-PBE; space-group type = R-3m (166)
1.0
1.929 1.114 6.373
-1.929 1.114 6.373
0.000 -2.228 6.373
Sb P Se
1 2 1
direct
0.000 0.000 0.000 Sb
0.249 0.249 0.249 P
0.751 0.751 0.751 P
0.500 0.500 0.500 Se

---

Each structure's energy above the most stable one, in eV/atom: run 1 0.375; run 2 0.000.

---

Run 1
SbP2Se, optimized geometry, DFT GGA-PBE; space-group type = Pmmm (47)
1.0
3.650 0.000 0.000
0.000 3.936 0.000
0.000 0.000 5.705
Sb P Se
1 2 1
direct
0.000 0.000 0.000 Sb
0.000 0.500 0.500 P
0.500 0.500 0.000 P
0.500 0.000 0.500 Se

---

Run 2
SbP2Se, optimized geometry, DFT GGA-PBE; space-group type = Fm-3m (225)
1.0
0.000 3.363 3.363
3.363 0.000 3.363
3.363 3.363 0.000
Sb P Se
1 2 1
direct
0.000 0.000 0.000 Sb
0.250 0.250 0.250 P
0.750 0.750 0.750 P
0.500 0.500 0.500 Se

---

Each structure's energy above the most stable one, in eV/atom: run 1 0.000; run 2 0.007.

---

Run 1
SbPSe4, optimized geometry, DFT GGA-PBE; space-group type = C2/c (15)
1.0
3.585 -8.546 0.000
3.585 8.546 0.000
-3.499 0.000 5.372
Sb P Se
2 2 8
direct
0.184 0.816 0.750 Sb
0.816 0.184 0.250 Sb
0.350 0.650 0.250 P
0.650 0.350 0.750 P
0.042 0.440 0.764 Se
0.193 0.323 0.241 Se
0.323 0.193 0.741 Se
0.440 0.042 0.264 Se
0.560 0.958 0.736 Se
0.677 0.807 0.259 Se
0.807 0.677 0.759 Se
0.958 0.560 0.236 Se

---

Run 2
SbPSe4, optimized geometry, DFT GGA-PBE; space-group type = F-43m (216)
1.0
0.000 4.024 4.024
4.024 0.000 4.024
4.024 4.024 0.000
Sb P Se
1 1 4
direct
0.000 0.000 0.000 Sb
0.250 0.250 0.250 P
0.127 0.624 0.624 Se
0.624 0.127 0.624 Se
0.624 0.624 0.127 Se
0.624 0.624 0.624 Se

---

Each structure's energy above the most stable one, in eV/atom: run 1 0.000; run 2 0.807.

---

Run 1
SbPSe2, optimized geometry, DFT GGA-PBE; space-group type = P4/mmm (123)
1.0
3.447 0.000 0.000
0.000 3.447 0.000
0.000 0.000 6.952
Sb P Se
1 1 2
direct
0.000 0.000 0.000 Sb
0.000 0.000 0.500 P
0.500 0.500 0.274 Se
0.500 0.500 0.726 Se

---

Run 2
SbPSe2, optimized geometry, DFT GGA-PBE; space-group type = Cmmm (65)
1.0
1.808 -3.507 0.000
1.808 3.507 0.000
0.000 0.000 7.915
Sb P Se
1 1 2
direct
0.000 0.000 0.000 Sb
0.000 0.000 0.500 P
0.500 0.500 0.285 Se
0.500 0.500 0.715 Se

---

Run 3
SbPSe2, optimized geometry, DFT GGA-PBE; space-group type = R-3m (166)
1.0
1.795 1.036 8.770
-1.795 1.036 8.770
0.000 -2.073 8.770
Sb P Se
1 1 2
direct
0.000 0.000 0.000 Sb
0.500 0.500 0.500 P
0.108 0.108 0.108 Se
0.892 0.892 0.892 Se

---

Each structure's energy above the most stable one, in eV/atom: run 1 0.312; run 2 0.207; run 3 0.000.